# 1
! Ti3Ga2Si (PBE-GGA, optimized geometry); values from VASP
&SYSTEM
  ibrav = 0, nat = 12, ntyp = 3
/
ATOMIC_SPECIES
Ti 47.87 Ti.upf
Ga 69.72 Ga.upf
Si 28.09 Si.upf
CELL_PARAMETERS angstrom
6.810 -2.584 0.000
6.810 2.584 0.000
-1.248 0.000 5.700
ATOMIC_POSITIONS crystal
Ti 0.002 0.998 0.750
Ti 0.341 0.341 0.421
Ti 0.341 0.341 0.921
Ti 0.659 0.659 0.079
Ti 0.659 0.659 0.579
Ti 0.998 0.002 0.250
Ga 0.170 0.171 0.586
Ga 0.171 0.170 0.086
Ga 0.829 0.830 0.914
Ga 0.830 0.829 0.414
Si 0.498 0.502 0.250
Si 0.502 0.498 0.750
! Space-group type: C2/c (15)
! Crystal system: monoclinic
! Formation energy without anion corrections in kJ/mol of atoms: -29
! Spin magnetization in μB/cell: 0.00

***

# 2
! YTh2Rh (PBE-GGA, optimized geometry); values from VASP
&SYSTEM
  ibrav = 0, nat = 16, ntyp = 3
/
ATOMIC_SPECIES
Y 88.91 Y.upf
Th 232.04 Th.upf
Rh 102.91 Rh.upf
CELL_PARAMETERS angstrom
7.149 0.000 0.000
0.000 10.107 0.000
0.000 0.000 6.237
ATOMIC_POSITIONS crystal
Y 0.039 0.250 0.153
Y 0.461 0.750 0.653
Y 0.539 0.250 0.347
Y 0.961 0.750 0.847
Th 0.179 0.060 0.656
Th 0.179 0.440 0.656
Th 0.321 0.560 0.156
Th 0.321 0.940 0.156
Th 0.679 0.060 0.844
Th 0.679 0.440 0.844
Th 0.821 0.560 0.344
Th 0.821 0.940 0.344
Rh 0.112 0.750 0.384
Rh 0.388 0.250 0.884
Rh 0.612 0.750 0.116
Rh 0.888 0.250 0.616
! Space-group type: Pnma (62)
! Crystal system: orthorhombic
! Distance to the lowest polymorph of the same formula in eV per formula unit: 0.01
! ΔH_f (0 K) in meV per atom: -464.2
! Spin magnetization in μB/cell: 0.00